1.
Below is an optimized crystal structure of Pm4NdY3S8, with properties calculated at the PBE-GGA level.

Summary:
Volume   1084 Å³/cell
Energy   -6.775 eV per atom
Formation energy (no corrections)   -2.014 eV per atom
Total magnetization   0.0 Bohr magnetons per cell

Unit cell a=7.9812 b=7.9812 c=19.6435 alpha=90.00 beta=90.00 gamma=120.00
Last column: nearest neighbours and their distance in Å.
Space group R-3m (No. 166, hexagonal axes)
Symmetry-distinct sites (fractional):
1 Pm 0.0000 0.0000 0.0000 (multiplicity 3)  6 S 2.82
2 Pm 0.0000 0.5000 0.0000 (multiplicity 9)  6 S 2.87
3 Nd 0.0000 0.0000 0.5000 (multiplicity 3)  6 S 2.84
4 Y 0.0000 0.5000 0.5000 (multiplicity 9)  6 S 2.78
5 S 0.0000 0.0000 0.2461 (multiplicity 6)  3 Y 2.78, 3 Pm 2.87
6 S 0.0068 0.5034 0.7523 (multiplicity 18)  2 Y 2.78, 3 Pm 2.82-2.87, 1 Nd 2.84



2.
Below is an optimized crystal structure of La3As4Pd7, with properties calculated at the PBE-GGA level.

Summary:
Volume   546 Å³/cell
Energy   -5.921 eV per atom
Total magnetization   0.0 Bohr magnetons per cell

Unit cell a=16.1908 b=4.2841 c=9.6965 alpha=90.00 beta=125.74 gamma=90.00
Last column: nearest neighbours and their distance in Å.
Space group C2/m (No. 12)
Symmetry-distinct sites (fractional):
1 La 0.0000 0.0000 0.0000 (multiplicity 2)  6 As 3.08-3.23, 6 Pd 3.20-3.42
2 La 0.1789 0.5000 0.6684 (multiplicity 4)  4 As 3.10-3.19, 10 Pd 3.12-3.37
3 As 0.1086 0.0000 0.8244 (multiplicity 4)  6 Pd 2.55-2.70
4 As 0.1648 0.5000 0.2730 (multiplicity 4)  5 Pd 2.59-2.80
5 Pd 0.0000 0.0000 0.5000 (multiplicity 2)  2 As 2.55
6 Pd 0.0046 0.5000 0.2799 (multiplicity 4)  3 As 2.61-2.63, 3 Pd 2.86
7 Pd 0.1487 0.0000 0.4064 (multiplicity 4)  3 As 2.59-2.80, 2 Pd 2.86
8 Pd 0.1958 0.5000 0.0319 (multiplicity 4)  4 As 2.61-2.70, 1 Pd 2.86



3.
Below is an optimized crystal structure of Cs21Rb2Na6, with properties calculated at the PBE-GGA level.

Summary:
Volume   11320 Å³/cell
Energy   -0.942 eV per atom
Total magnetization   0.0 Bohr magnetons per cell

Unit cell a=22.4534 b=22.4534 c=22.4534 alpha=90.00 beta=90.00 gamma=90.00
Last column: nearest neighbours and their distance in Å.
Space group Fm-3m (No. 225)
Symmetry-distinct sites (fractional):
1 Cs 0.0000 0.0000 0.0000 (multiplicity 4)  12 Cs 5.42
2 Cs 0.0000 0.1706 0.1706 (multiplicity 48)  2 Na 4.42
3 Cs 0.1176 0.1176 0.3824 (multiplicity 32)  3 Na 4.52
4 Rb 0.2500 0.2500 0.2500 (multiplicity 8)  4 Cs 5.15
5 Na 0.0000 0.0000 0.2692 (multiplicity 24)  8 Cs 4.42-4.52



4.
Below is an optimized crystal structure of Be2V2Ni5Ge, with properties calculated at the PBE-GGA level.

Summary:
Volume   224 Å³/cell
Energy   -6.130 eV per atom
Total magnetization   8.4 Bohr magnetons per cell

Unit cell a=8.4272 b=8.4272 c=3.1521 alpha=90.00 beta=90.00 gamma=90.00
Last column: nearest neighbours and their distance in Å.
Space group P4/mbm (No. 127)
Symmetry-distinct sites (fractional):
1 Be 0.1185 0.3815 0.0000 (multiplicity 4)  6 Ni 2.12-2.17
2 V 0.1765 0.6765 0.0000 (multiplicity 4)  3 Be 2.44-2.53, 6 Ni 2.63-2.69
3 Ni 0.0000 0.5000 0.5000 (multiplicity 2)  4 Be 2.12
4 Ni 0.0677 0.2114 0.5000 (multiplicity 8)  2 Be 2.17
5 Ge 0.0000 0.0000 0.0000 (multiplicity 2)  8 Ni 2.45



What is the formula in the first record? Pm4NdY3S8



Copy entry 4 word for word.
Below is an optimized crystal structure of Be2V2Ni5Ge, with properties calculated at the PBE-GGA level.

Summary:
Volume   224 Å³/cell
Energy   -6.130 eV per atom
Total magnetization   8.4 Bohr magnetons per cell

Unit cell a=8.4272 b=8.4272 c=3.1521 alpha=90.00 beta=90.00 gamma=90.00
Last column: nearest neighbours and their distance in Å.
Space group P4/mbm (No. 127)
Symmetry-distinct sites (fractional):
1 Be 0.1185 0.3815 0.0000 (multiplicity 4)  6 Ni 2.12-2.17
2 V 0.1765 0.6765 0.0000 (multiplicity 4)  3 Be 2.44-2.53, 6 Ni 2.63-2.69
3 Ni 0.0000 0.5000 0.5000 (multiplicity 2)  4 Be 2.12
4 Ni 0.0677 0.2114 0.5000 (multiplicity 8)  2 Be 2.17
5 Ge 0.0000 0.0000 0.0000 (multiplicity 2)  8 Ni 2.45



total magnetization of number 1 (Pm4NdY3S8)? 0.0 Bohr magnetons per cell